CsAlZnF6 (PBE, optimized geometry); calculated density = 4.2 g/cm3; DFT total energy = -178.2 eV for the cell shown
1.0
7.310 0.000 0.000
0.000 7.193 0.000
0.000 0.000 10.285
Cs Al Zn F
4 4 4 24
Direct
0.011 0.250 0.128
0.489 0.750 0.628
0.511 0.250 0.372
0.989 0.750 0.872
0.000 0.000 0.500
0.000 0.500 0.500
0.500 0.000 0.000
0.500 0.500 0.000
0.230 0.250 0.758
0.270 0.750 0.258
0.730 0.250 0.742
0.770 0.750 0.242
0.025 0.250 0.459
0.026 0.750 0.169
0.152 0.027 0.638
0.152 0.473 0.638
0.197 0.549 0.397
0.197 0.951 0.397
0.303 0.049 0.897
0.303 0.451 0.897
0.348 0.527 0.138
0.348 0.973 0.138
0.474 0.250 0.669
0.475 0.750 0.959
0.525 0.250 0.041
0.526 0.750 0.331
0.652 0.027 0.862
0.652 0.473 0.862
0.697 0.549 0.103
0.697 0.951 0.103
0.803 0.049 0.603
0.803 0.451 0.603
0.848 0.527 0.362
0.848 0.973 0.362
0.974 0.250 0.831
0.975 0.750 0.541

=====

ScSi4P (PBE, optimized geometry); calculated density = 3.4 g/cm3; DFT total energy = -33.3 eV for the cell shown
1.0
0.000 3.570 3.570
3.570 0.000 3.570
3.570 3.570 0.000
Sc Si P
1 4 1
Direct
0.000 0.000 0.000
0.125 0.625 0.625
0.625 0.125 0.625
0.625 0.625 0.125
0.625 0.625 0.625
0.250 0.250 0.250

=====

Pr6Dy2Er (PBE, optimized geometry); E_form = 128.1 meV/atom; calculated density = 7.1 g/cm3; DFT total energy = -41.3 eV for the cell shown
1.0
4.748 -8.930 0.000
4.748 8.930 0.000
0.000 0.000 3.684
Pr Dy Er
6 2 1
Direct
0.009 0.341 0.000
0.185 0.185 0.500
0.341 0.009 0.000
0.659 0.991 0.000
0.815 0.815 0.500
0.991 0.659 0.000
0.325 0.675 0.500
0.675 0.325 0.500
0.500 0.500 0.000

=====

TaAl2Tl (PBE, optimized geometry); E_form = 168.5 meV/atom; calculated density = 10.0 g/cm3; DFT total energy = -42.1 eV for the cell shown
1.0
4.065 0.000 0.000
0.000 4.065 0.000
0.000 0.000 8.863
Ta Al Tl
2 4 2
Direct
0.000 0.000 0.000
0.500 0.500 0.500
0.000 0.500 0.250
0.000 0.500 0.750
0.500 0.000 0.250
0.500 0.000 0.750
0.000 0.000 0.500
0.500 0.500 0.000

=====

K9Br3O2 (PBE, optimized geometry); calculated density = 2.0 g/cm3; DFT total energy = -40.9 eV for the cell shown
1.0
7.622 0.000 0.000
-3.811 6.601 0.000
0.000 0.000 10.204
K Br O
9 3 2
Direct
0.000 0.500 0.000
0.173 0.346 0.701
0.173 0.827 0.701
0.346 0.173 0.299
0.500 0.000 0.000
0.500 0.500 0.000
0.654 0.827 0.701
0.827 0.173 0.299
0.827 0.654 0.299
0.000 0.000 0.000
0.333 0.667 0.260
0.667 0.333 0.740
0.333 0.667 0.838
0.667 0.333 0.162

=====

BaCa2HgAs (PBE, optimized geometry); E_form = -568.4 meV/atom; calculated density = 4.1 g/cm3; DFT total energy = -13.7 eV for the cell shown
1.0
5.572 0.000 0.000
0.000 5.572 0.000
0.000 0.000 6.476
Ba Ca Hg As
1 2 1 1
Direct
0.000 0.000 0.000
0.000 0.500 0.500
0.500 0.000 0.500
0.500 0.500 0.000
0.000 0.000 0.500

=====

Dy3TeAsS (PBE, optimized geometry); calculated density = 7.4 g/cm3; DFT total energy = -68.1 eV for the cell shown
1.0
3.421 -7.253 0.000
3.421 7.253 0.000
-2.063 0.000 6.499
Dy Te As S
6 2 2 2
Direct
0.179 0.314 0.001
0.246 0.754 0.750
0.314 0.179 0.501
0.686 0.821 0.499
0.754 0.246 0.250
0.821 0.686 0.999
0.250 0.750 0.250
0.750 0.250 0.750
0.434 0.566 0.750
0.566 0.434 0.250
0.059 0.941 0.750
0.941 0.059 0.250

=====

Rb3Tb2NpS6 (PBE, optimized geometry); calculated density = 4.9 g/cm3; DFT total energy = -70.0 eV for the cell shown
1.0
3.570 -6.177 0.000
3.570 6.177 0.000
-2.372 0.000 7.688
Rb Tb Np S
3 2 1 6
Direct
0.000 0.000 0.000
0.333 0.667 0.000
0.667 0.333 0.000
0.166 0.834 0.500
0.834 0.166 0.500
0.500 0.500 0.500
0.100 0.436 0.308
0.229 0.229 0.693
0.436 0.100 0.308
0.564 0.900 0.692
0.771 0.771 0.307
0.900 0.564 0.692

=====

CsNa2LiCl4 (PBE, optimized geometry); calculated density = 2.5 g/cm3; DFT total energy = -55.0 eV for the cell shown
1.0
2.097 -7.252 0.000
2.097 7.252 0.000
0.000 0.000 14.193
Cs Na Li Cl
2 4 2 8
Direct
0.108 0.892 0.750
0.892 0.108 0.250
0.369 0.631 0.547
0.369 0.631 0.953
0.631 0.369 0.047
0.631 0.369 0.453
0.165 0.835 0.250
0.835 0.165 0.750
0.000 0.000 0.000
0.000 0.000 0.500
0.253 0.747 0.113
0.253 0.747 0.387
0.417 0.583 0.750
0.583 0.417 0.250
0.747 0.253 0.613
0.747 0.253 0.887

=====

ErScCoCu (PBE, optimized geometry); E_form = -266.9 meV/atom; calculated density = 7.8 g/cm3; DFT total energy = -23.2 eV for the cell shown
1.0
3.270 0.000 0.000
0.000 3.270 0.000
0.000 0.000 6.650
Er Sc Co Cu
1 1 1 1
Direct
0.000 0.000 0.000
0.000 0.000 0.523
0.500 0.500 0.742
0.500 0.500 0.284

=====

MoAs2Pt2 (PBE, optimized geometry); E_form = 49.6 meV/atom; calculated density = 12.9 g/cm3; DFT total energy = -63.9 eV for the cell shown
1.0
6.942 0.000 0.000
0.000 6.942 0.000
0.000 0.000 3.408
Mo As Pt
2 4 4
Direct
0.000 0.000 0.000
0.500 0.500 0.000
0.157 0.343 0.000
0.343 0.843 0.000
0.657 0.157 0.000
0.843 0.657 0.000
0.149 0.649 0.500
0.351 0.149 0.500
0.649 0.851 0.500
0.851 0.351 0.500

=====

PuThGe (PBE, optimized geometry); E_form = -488.3 meV/atom; calculated density = 11.8 g/cm3; DFT total energy = -55.7 eV for the cell shown
1.0
4.316 0.000 0.000
0.000 4.316 0.000
0.000 0.000 8.289
Pu Th Ge
2 2 2
Direct
0.250 0.750 0.000
0.750 0.250 0.000
0.250 0.250 0.352
0.750 0.750 0.648
0.250 0.250 0.726
0.750 0.750 0.274

=====

Among the records above, which one has the highest calculated density?
MoAs2Pt2

=====

Which formula does entry 4 have?
TaAl2Tl

=====

What is the calculated density in the ninth record?
2.5 g/cm3

=====

Number 6 is which compound?
BaCa2HgAs